# 1
Sc2MnSeCl: relaxed, PBE.

Geometry as CIF:
```
data_Sc2MnSeCl
_chemical_formula_sum 'Sc2 Mn1 Se1 Cl1'
_space_group_name_H-M_alt 'P 4/m m m'
_space_group_IT_number 123
_space_group_name_Hall '-P 4 2'
_cell_length_a 5.184
_cell_length_b 5.184
_cell_length_c 4.217
_cell_angle_alpha 90.00
_cell_angle_beta 90.00
_cell_angle_gamma 90.00
loop_
_atom_site_label
_atom_site_fract_x
_atom_site_fract_y
_atom_site_fract_z
Sc1 0.000 0.500 0.000
Mn1 0.000 0.000 0.500
Se1 0.000 0.000 0.000
Cl1 0.500 0.500 0.500
```

# 2
ScMnTlCl6: relaxed, PBE.

Geometry as CIF:
```
data_ScMnTlCl6
_chemical_formula_sum 'Sc2 Mn2 Tl2 Cl12'
_space_group_name_H-M_alt 'P -3 1 c'
_space_group_IT_number 163
_space_group_name_Hall '-P 3 2c'
_cell_length_a 6.2500
_cell_length_b 6.2500
_cell_length_c 14.7669
_cell_angle_alpha 90.00
_cell_angle_beta 90.00
_cell_angle_gamma 120.00
loop_
_atom_site_label
_atom_site_fract_x
_atom_site_fract_y
_atom_site_fract_z
Sc1 0.3333 0.6667 0.2500
Mn1 0.3333 0.6667 0.7500
Tl1 0.0000 0.0000 0.0000
Cl1 0.0186 0.3737 0.6554
```

# 3
MnSeCl2: relaxed, PBE.

Geometry as CIF:
```
data_MnSeCl2
_chemical_formula_sum 'Mn2 Se2 Cl4'
_space_group_name_H-M_alt 'I m m m'
_space_group_IT_number 71
_space_group_name_Hall '-I 2 2'
_cell_length_a 3.067
_cell_length_b 6.141
_cell_length_c 11.967
_cell_angle_alpha 90.00
_cell_angle_beta 90.00
_cell_angle_gamma 90.00
loop_
_atom_site_label
_atom_site_fract_x
_atom_site_fract_y
_atom_site_fract_z
Mn1 0.000 0.000 0.000
Se1 0.000 0.000 0.500
Cl1 0.000 0.500 0.353
```

# 4
MnSeCl2: relaxed, PBE.

Geometry as CIF:
```
data_MnSeCl2
_chemical_formula_sum 'Mn3 Se3 Cl6'
_space_group_name_H-M_alt 'R -3 m'
_space_group_IT_number 166
_space_group_name_Hall '-R 3 2"'
_cell_length_a 3.4076
_cell_length_b 3.4076
_cell_length_c 32.9749
_cell_angle_alpha 90.00
_cell_angle_beta 90.00
_cell_angle_gamma 120.00
loop_
_atom_site_label
_atom_site_fract_x
_atom_site_fract_y
_atom_site_fract_z
Mn1 0.0000 0.0000 0.0000
Se1 0.0000 0.0000 0.5000
Cl1 0.0000 0.0000 0.3795
```

# 5
MnSeCl2: relaxed, PBE.

Geometry as CIF:
```
data_MnSeCl2
_chemical_formula_sum 'Mn1 Se1 Cl2'
_space_group_name_H-M_alt 'P 4/m m m'
_space_group_IT_number 123
_space_group_name_Hall '-P 4 2'
_cell_length_a 4.429
_cell_length_b 4.429
_cell_length_c 4.188
_cell_angle_alpha 90.00
_cell_angle_beta 90.00
_cell_angle_gamma 90.00
loop_
_atom_site_label
_atom_site_fract_x
_atom_site_fract_y
_atom_site_fract_z
Mn1 0.000 0.000 0.000
Se1 0.500 0.500 0.000
Cl1 0.000 0.500 0.500
```

# 6
MnSeCl2: relaxed, PBE.

Geometry as CIF:
```
data_MnSeCl2
_chemical_formula_sum 'Mn4 Se4 Cl8'
_space_group_name_H-M_alt 'F m -3 m'
_space_group_IT_number 225
_space_group_name_Hall '-F 4 2 3'
_cell_length_a 6.906
_cell_length_b 6.906
_cell_length_c 6.906
_cell_angle_alpha 90.00
_cell_angle_beta 90.00
_cell_angle_gamma 90.00
loop_
_atom_site_label
_atom_site_fract_x
_atom_site_fract_y
_atom_site_fract_z
Mn1 0.000 0.000 0.000
Se1 0.000 0.000 0.500
Cl1 0.250 0.250 0.250
```

no.,spin magnetization (μB per formula unit),energy (eV/atom),N(E_F) (states/eV per atom)
1,0.0,-5.48,0.849
2,0.9,-4.52,0.887
3,5.2,-4.40,0.862
4,4.5,-4.48,0.350
5,4.8,-3.84,0.678
6,3.0,-3.84,0.451